VASP calculation (PBE+U) on crystalline Ga2NiP3H8NO14 at its relaxed geometry.

Properties
Calculated volume   10.1 Å³/atom
Crystal system   monoclinic
Space-group type   C2/c
E_tot   -6.05 eV/atom
Magnetic moment   1.90 μB/f.u.

POSCAR file:
```
Ga2NiP3H8NO14
1.0
8.454 0.038 -0.029
2.312 8.132 -0.029
2.200 1.669 8.561
O Ga P N H Ni
28 4 6 2 16 2
Cartesian
4.196 8.362 7.534 O
8.869 5.441 6.925 O
6.438 3.596 5.858 O
7.724 3.267 8.375 O
2.799 2.642 0.384 O
5.242 6.573 0.128 O
4.343 8.429 2.567 O
6.527 6.243 2.645 O
8.769 1.478 0.969 O
4.096 4.398 1.577 O
8.083 0.957 3.253 O
2.996 5.171 7.195 O
4.687 0.659 2.914 O
10.386 2.750 6.848 O
2.580 7.090 1.655 O
8.279 9.180 5.589 O
4.398 2.819 4.665 O
8.841 4.114 4.408 O
9.970 4.669 1.308 O
10.565 6.841 5.605 O
8.332 7.500 1.324 O
4.883 8.883 5.249 O
2.401 2.999 2.898 O
8.623 1.411 5.935 O
4.125 5.726 4.095 O
10.167 7.197 8.118 O
8.568 7.021 3.838 O
4.634 2.340 7.178 O
3.248 1.527 3.699 Ga
3.444 3.552 7.980 Ga
9.718 8.313 4.803 Ga
9.522 6.288 0.523 Ga
2.736 3.695 1.525 P
9.000 0.461 2.111 P
10.230 6.145 6.977 P
7.571 7.364 2.697 P
3.966 9.378 6.392 P
5.395 2.476 5.806 P
6.274 6.337 6.392 N
6.691 3.503 2.111 N
6.027 5.358 6.123 H
6.860 2.867 2.898 H
9.594 3.763 3.866 H
5.707 6.670 7.179 H
7.259 3.170 1.324 H
7.306 9.062 8.146 H
6.106 6.973 5.605 H
6.939 4.481 2.380 H
8.841 5.094 4.292 H
5.683 3.528 1.842 H
3.372 6.077 4.637 H
7.283 6.311 6.660 H
4.125 4.746 4.210 H
6.780 3.530 8.491 H
5.660 0.778 0.357 H
6.185 6.309 0.012 H
4.549 6.326 2.111 Ni
8.417 3.514 6.392 Ni
```